No. 1
Material: SmOF
Method: DFT, GGA-PBE
State: optimized geometry

Properties
Total DFT energy (no corrections) in eV per atom: -7.58

The structure in CIF format:
```
data_SmOF
_chemical_formula_sum 'Sm16 O16 F16'
_space_group_name_H-M_alt 'F d d d'
_space_group_IT_number 70
_cell_length_a 7.4267
_cell_length_b 8.9584
_cell_length_c 10.9155
_cell_angle_alpha 90.00
_cell_angle_beta 90.00
_cell_angle_gamma 90.00
loop_
_space_group_symop_operation_xyz
'x,y,z'
'-x,-y,-z'
'-x+1/4,-y+1/4,z'
'x+1/4,y+1/4,-z'
'x,-y+1/4,-z+1/4'
'-x,y+1/4,z+1/4'
'-x+1/4,y,-z+1/4'
'x+1/4,-y,z+1/4'
'x,y+1/2,z+1/2'
'-x,-y+1/2,-z+1/2'
'-x+1/4,-y+3/4,z+1/2'
'x+1/4,y+3/4,-z+1/2'
'x,-y+3/4,-z+3/4'
'-x,y+3/4,z+3/4'
'-x+1/4,y+1/2,-z+3/4'
'x+1/4,-y+1/2,z+3/4'
'x+1/2,y,z+1/2'
'-x+1/2,-y,-z+1/2'
'-x+3/4,-y+1/4,z+1/2'
'x+3/4,y+1/4,-z+1/2'
'x+1/2,-y+1/4,-z+3/4'
'-x+1/2,y+1/4,z+3/4'
'-x+3/4,y,-z+3/4'
'x+3/4,-y,z+3/4'
'x+1/2,y+1/2,z'
'-x+1/2,-y+1/2,-z'
'-x+3/4,-y+3/4,z'
'x+3/4,y+3/4,-z'
'x+1/2,-y+3/4,-z+1/4'
'-x+1/2,y+3/4,z+1/4'
'-x+3/4,y+1/2,-z+1/4'
'x+3/4,-y+1/2,z+1/4'
loop_
_atom_site_label
_atom_site_type_symbol
_atom_site_fract_x
_atom_site_fract_y
_atom_site_fract_z
Sm1 Sm 0.1250 0.3245 0.1250
O1 O 0.1250 0.1250 0.2576
F1 F 0.0000 0.0000 0.5000
```

***

No. 2
Material: Ba2TbZrN4
Method: DFT, GGA-PBE
State: optimized geometry

Properties
Total DFT energy (no corrections) in eV per atom: -7.30

The structure in CIF format:
```
data_Ba2TbZrN4
_chemical_formula_sum 'Ba2 Tb1 Zr1 N4'
_space_group_name_H-M_alt 'P 4 m m'
_space_group_IT_number 99
_cell_length_a 4.2037
_cell_length_b 4.2037
_cell_length_c 8.7781
_cell_angle_alpha 90.00
_cell_angle_beta 90.00
_cell_angle_gamma 90.00
loop_
_space_group_symop_operation_xyz
'x,y,z'
'-y,x,z'
'-x,-y,z'
'y,-x,z'
'-x,y,z'
'y,x,z'
'x,-y,z'
'-y,-x,z'
loop_
_atom_site_label
_atom_site_type_symbol
_atom_site_fract_x
_atom_site_fract_y
_atom_site_fract_z
Ba1 Ba 0.0000 0.0000 0.0000
Ba2 Ba 0.5000 0.5000 0.3006
Tb1 Tb 0.0000 0.0000 0.5815
Zr1 Zr 0.5000 0.5000 0.7637
N1 N 0.0000 0.0000 0.3180
N2 N 0.0000 0.5000 0.6902
N3 N 0.5000 0.5000 0.9961
```

***

No. 3
Material: TlHg3MoSe4
Method: DFT, GGA-PBE
State: optimized geometry

Properties
Total DFT energy (no corrections) in eV per atom: -3.11

The structure in CIF format:
```
data_TlHg3MoSe4
_chemical_formula_sum 'Tl1 Hg3 Mo1 Se4'
_space_group_name_H-M_alt 'P -4 3 m'
_space_group_IT_number 215
_space_group_name_Hall 'P -4 2 3'
_cell_length_a 7.1440
_cell_length_b 7.1440
_cell_length_c 7.1440
_cell_angle_alpha 90.00
_cell_angle_beta 90.00
_cell_angle_gamma 90.00
loop_
_atom_site_label
_atom_site_type_symbol
_atom_site_fract_x
_atom_site_fract_y
_atom_site_fract_z
Tl1 Tl 0.0000 0.0000 0.0000
Hg1 Hg 0.0000 0.5000 0.5000
Mo1 Mo 0.5000 0.5000 0.5000
Se1 Se 0.3073 0.3073 0.3073
```

***

No. 4
Material: AlHg2W
Method: DFT, GGA-PBE
State: optimized geometry

Properties
Total DFT energy (no corrections) in eV per atom: -3.44

The structure in CIF format:
```
data_AlHg2W
_chemical_formula_sum 'Al4 Hg8 W4'
_space_group_name_H-M_alt 'F -4 3 m'
_space_group_IT_number 216
_space_group_name_Hall 'F -4 2 3'
_cell_length_a 6.7010
_cell_length_b 6.7010
_cell_length_c 6.7010
_cell_angle_alpha 90.00
_cell_angle_beta 90.00
_cell_angle_gamma 90.00
loop_
_atom_site_label
_atom_site_type_symbol
_atom_site_fract_x
_atom_site_fract_y
_atom_site_fract_z
Al1 Al 0.0000 0.0000 0.0000
Hg1 Hg 0.0000 0.0000 0.5000
Hg2 Hg 0.2500 0.2500 0.7500
W1 W 0.2500 0.2500 0.2500
```

***

No. 5
Material: BiPd15
Method: DFT, GGA-PBE
State: optimized geometry

Properties
Total DFT energy (no corrections) in eV per atom: -5.06

The structure in CIF format:
```
data_BiPd15
_chemical_formula_sum 'Bi2 Pd30'
_space_group_name_H-M_alt 'P 1 21/m 1'
_space_group_IT_number 11
_cell_length_a 7.5816
_cell_length_b 2.8766
_cell_length_c 32.3952
_cell_angle_alpha 90.00
_cell_angle_beta 90.01
_cell_angle_gamma 90.00
loop_
_space_group_symop_operation_xyz
'x,y,z'
'-x,-y,-z'
'-x,y+1/2,-z'
'x,-y+1/2,z'
loop_
_atom_site_label
_atom_site_type_symbol
_atom_site_fract_x
_atom_site_fract_y
_atom_site_fract_z
Bi1 Bi 0.1249 0.2500 0.3310
Pd1 Pd 0.1227 0.2500 0.8047
Pd2 Pd 0.1245 0.2500 0.8916
Pd3 Pd 0.1254 0.2500 0.0647
Pd4 Pd 0.1251 0.2500 0.1517
Pd5 Pd 0.1249 0.2500 0.2394
Pd6 Pd 0.1254 0.2500 0.9781
Pd7 Pd 0.1258 0.2500 0.7157
Pd8 Pd 0.3725 0.7500 0.1954
Pd9 Pd 0.3744 0.7500 0.1085
Pd10 Pd 0.3753 0.7500 0.0216
Pd11 Pd 0.3752 0.7500 0.6749
Pd12 Pd 0.3750 0.7500 0.7616
Pd13 Pd 0.3752 0.7500 0.8477
Pd14 Pd 0.3755 0.7500 0.9345
Pd15 Pd 0.3755 0.7500 0.2843
```

***

No. 6
Material: MgNbCoPb
Method: DFT, GGA-PBE
State: optimized geometry

Properties
Total DFT energy (no corrections) in eV per atom: -5.11

The structure in CIF format:
```
data_MgNbCoPb
_chemical_formula_sum 'Mg4 Nb4 Co4 Pb4'
_space_group_name_H-M_alt 'F -4 3 m'
_space_group_IT_number 216
_space_group_name_Hall 'F -4 2 3'
_cell_length_a 6.5889
_cell_length_b 6.5889
_cell_length_c 6.5889
_cell_angle_alpha 90.00
_cell_angle_beta 90.00
_cell_angle_gamma 90.00
loop_
_atom_site_label
_atom_site_type_symbol
_atom_site_fract_x
_atom_site_fract_y
_atom_site_fract_z
Mg1 Mg 0.0000 0.0000 0.0000
Nb1 Nb 0.2500 0.2500 0.2500
Co1 Co 0.2500 0.2500 0.7500
Pb1 Pb 0.0000 0.0000 0.5000
```

***

No. 7
Material: CuSiBi
Method: DFT, GGA-PBE
State: optimized geometry

Properties
Total DFT energy (no corrections) in eV per atom: -4.05

The structure in CIF format:
```
data_CuSiBi
_chemical_formula_sum 'Cu4 Si4 Bi4'
_space_group_name_H-M_alt 'F -4 3 m'
_space_group_IT_number 216
_space_group_name_Hall 'F -4 2 3'
_cell_length_a 6.3294
_cell_length_b 6.3294
_cell_length_c 6.3294
_cell_angle_alpha 90.00
_cell_angle_beta 90.00
_cell_angle_gamma 90.00
loop_
_atom_site_label
_atom_site_type_symbol
_atom_site_fract_x
_atom_site_fract_y
_atom_site_fract_z
Cu1 Cu 0.0000 0.0000 0.0000
Si1 Si 0.2500 0.2500 0.2500
Bi1 Bi 0.2500 0.2500 0.7500
```

***

No. 8
Material: NdGa2Au2
Method: DFT, GGA-PBE
State: optimized geometry

Properties
Total DFT energy (no corrections) in eV per atom: -4.08

The structure in CIF format:
```
data_NdGa2Au2
_chemical_formula_sum 'Nd2 Ga4 Au4'
_space_group_name_H-M_alt 'I 4/m m m'
_space_group_IT_number 139
_space_group_name_Hall '-I 4 2'
_cell_length_a 4.3273
_cell_length_b 4.3273
_cell_length_c 11.3068
_cell_angle_alpha 90.00
_cell_angle_beta 90.00
_cell_angle_gamma 90.00
loop_
_atom_site_label
_atom_site_type_symbol
_atom_site_fract_x
_atom_site_fract_y
_atom_site_fract_z
Nd1 Nd 0.0000 0.0000 0.0000
Ga1 Ga 0.0000 0.5000 0.2500
Au1 Au 0.0000 0.0000 0.3795
```

***

No. 9
Material: Cu2Ag3
Method: DFT, GGA-PBE
State: optimized geometry

Properties
ΔE_f in eV per formula unit: 0.5

The structure in CIF format:
```
data_Cu2Ag3
_chemical_formula_sum 'Cu8 Ag12'
_space_group_name_H-M_alt 'C 1 m 1'
_space_group_IT_number 8
_cell_length_a 14.6636
_cell_length_b 2.8510
_cell_length_c 7.7541
_cell_angle_alpha 90.00
_cell_angle_beta 105.52
_cell_angle_gamma 90.00
loop_
_space_group_symop_operation_xyz
'x,y,z'
'x,-y,z'
'x+1/2,y+1/2,z'
'x+1/2,-y+1/2,z'
loop_
_atom_site_label
_atom_site_type_symbol
_atom_site_fract_x
_atom_site_fract_y
_atom_site_fract_z
Cu1 Cu 0.0000 0.0000 0.0000
Cu2 Cu 0.0957 0.5000 0.8349
Cu3 Cu 0.1934 0.0000 0.1070
Cu4 Cu 0.2910 0.5000 0.3957
Ag1 Ag 0.0000 0.0000 0.5245
Ag2 Ag 0.0958 0.5000 0.2879
Ag3 Ag 0.1955 0.0000 0.6033
Ag4 Ag 0.2886 0.5000 0.9169
Ag5 Ag 0.3954 0.0000 0.2138
Ag6 Ag 0.3952 0.0000 0.7152
```

***

No. 10
Material: UIrPt
Method: DFT, GGA-PBE
State: optimized geometry

Properties
ΔE_f in eV per formula unit: -0.6

The structure in CIF format:
```
data_UIrPt
_chemical_formula_sum 'U4 Ir4 Pt4'
_space_group_name_H-M_alt 'F -4 3 m'
_space_group_IT_number 216
_space_group_name_Hall 'F -4 2 3'
_cell_length_a 6.3609
_cell_length_b 6.3609
_cell_length_c 6.3609
_cell_angle_alpha 90.00
_cell_angle_beta 90.00
_cell_angle_gamma 90.00
loop_
_atom_site_label
_atom_site_type_symbol
_atom_site_fract_x
_atom_site_fract_y
_atom_site_fract_z
U1 U 0.0000 0.0000 0.0000
Ir1 Ir 0.2500 0.2500 0.2500
Pt1 Pt 0.0000 0.0000 0.5000
```